#A
FeCo2Re: relaxed, PBE-GGA.

Cell: 3.5438 3.5438 3.6402 Å, 90.00 90.00 90.00°
Space group P4/mmm (No. 123)
Inequivalent atoms, fractional coordinates:
Fe (0.0000, 0.0000, 0.0000) [1 per cell]
Co (0.0000, 0.5000, 0.5000) [2 per cell]
Re (0.5000, 0.5000, 0.0000) [1 per cell]

## Properties
spin magnetization	0.002	μB per formula unit

#B
FeCo2Re: relaxed, PBE-GGA.

Cell: 3.6096 3.6096 7.1376 Å, 90.00 90.00 90.00°
Space group I-4m2 (No. 119)
Inequivalent atoms, fractional coordinates:
Fe (0.0000, 0.0000, 0.0000) [2 per cell]
Co (0.0000, 0.0000, 0.5000) [2 per cell]
Co (0.0000, 0.5000, 0.2500) [2 per cell]
Re (0.0000, 0.5000, 0.7500) [2 per cell]

## Properties
spin magnetization	2.423	μB per formula unit

Most stable of them? #B.

#A
FeCoRe2: relaxed, PBE-GGA.

Cell: 3.7467 3.7467 7.3787 Å, 90.00 90.00 90.00°
Space group I-4m2 (No. 119)
Inequivalent atoms, fractional coordinates:
Fe (0.0000, 0.0000, 0.0000) [2 per cell]
Co (0.0000, 0.5000, 0.7500) [2 per cell]
Re (0.0000, 0.0000, 0.5000) [2 per cell]
Re (0.0000, 0.5000, 0.2500) [2 per cell]

## Properties
spin magnetization	1.112	μB per formula unit

#B
FeCoRe2: relaxed, PBE-GGA.

Cell: 8.6261 2.6470 4.5436 Å, 90.00 99.83 90.00°
Space group Cm (No. 8)
Inequivalent atoms, fractional coordinates:
Fe (0.0000, 0.0000, 0.0000) [2 per cell]
Co (0.2504, 0.5000, 0.2632) [2 per cell]
Re (0.2556, 0.0000, 0.7844) [2 per cell]
Re (0.4969, 0.0000, 0.4806) [2 per cell]

## Properties
spin magnetization	0.005	μB per formula unit

#C
FeCoRe2: relaxed, PBE-GGA.

Cell: 3.7153 3.7153 3.6799 Å, 90.00 90.00 90.00°
Space group P4/mmm (No. 123)
Inequivalent atoms, fractional coordinates:
Fe (0.0000, 0.0000, 0.0000) [1 per cell]
Co (0.5000, 0.5000, 0.0000) [1 per cell]
Re (0.0000, 0.5000, 0.5000) [2 per cell]

## Properties
spin magnetization	0.001	μB per formula unit

#D
FeCoRe2: relaxed, PBE-GGA.

Cell: 8.6612 2.6757 4.6240 Å, 90.00 100.18 90.00°
Space group C2/m (No. 12)
Inequivalent atoms, fractional coordinates:
Fe (0.0000, 0.0000, 0.0000) [2 per cell]
Co (0.0000, 0.5000, 0.5000) [2 per cell]
Re (0.2472, 0.0000, 0.7474) [4 per cell]

## Properties
spin magnetization	2.442	μB per formula unit

Most stable of them? #C.

#A
FeCoRe2: relaxed, PBE-GGA.

Cell: 2.6303 2.6303 7.3397 Å, 90.00 90.00 90.00°
Space group P4/mmm (No. 123)
Inequivalent atoms, fractional coordinates:
Fe (0.0000, 0.0000, 0.0000) [1 per cell]
Co (0.0000, 0.0000, 0.5000) [1 per cell]
Re (0.5000, 0.5000, 0.2476) [2 per cell]

## Properties
spin magnetization	0.007	μB per formula unit

#B
FeCoRe2: relaxed, PBE-GGA.

Cell: 5.9439 5.9439 5.9439 Å, 90.00 90.00 90.00°
Space group Fm-3m (No. 225)
Inequivalent atoms, fractional coordinates:
Fe (0.0000, 0.0000, 0.0000) [4 per cell]
Co (0.0000, 0.0000, 0.5000) [4 per cell]
Re (0.2500, 0.2500, 0.2500) [8 per cell]

## Properties
spin magnetization	4.260	μB per formula unit

#C
FeCoRe2: relaxed, PBE-GGA.

Cell: 5.9929 5.9929 5.9929 Å, 90.00 90.00 90.00°
Space group F-43m (No. 216)
Inequivalent atoms, fractional coordinates:
Fe (0.0000, 0.0000, 0.0000) [4 per cell]
Co (0.2500, 0.2500, 0.2500) [4 per cell]
Re (0.0000, 0.0000, 0.5000) [4 per cell]
Re (0.2500, 0.2500, 0.7500) [4 per cell]

## Properties
spin magnetization	4.026	μB per formula unit

#D
FeCoRe2: relaxed, PBE-GGA.

Cell: 3.1382 4.1323 8.1377 Å, 90.00 90.00 90.00°
Space group Imm2 (No. 44)
Inequivalent atoms, fractional coordinates:
Fe (0.0000, 0.0000, 0.0000) [2 per cell]
Co (0.0000, 0.5000, 0.2690) [2 per cell]
Re (0.0000, 0.0000, 0.5097) [2 per cell]
Re (0.0000, 0.5000, 0.7492) [2 per cell]

## Properties
spin magnetization	4.242	μB per formula unit

Most stable of them? #A.

#A
FeCoRe2: relaxed, PBE-GGA.

Cell: 2.6333 3.6624 5.2649 Å, 90.00 90.00 90.00°
Space group Pmmm (No. 47)
Inequivalent atoms, fractional coordinates:
Fe (0.0000, 0.0000, 0.0000) [1 per cell]
Co (0.0000, 0.0000, 0.5000) [1 per cell]
Re (0.5000, 0.5000, 0.2462) [2 per cell]

## Properties
spin magnetization	0.047	μB per formula unit

#B
FeCoRe2: relaxed, PBE-GGA.

Cell: 2.6138 4.0398 4.9925 Å, 90.00 104.99 90.00°
Space group Pm (No. 6)
Inequivalent atoms, fractional coordinates:
Fe (0.0000, 0.0000, 0.0000) [1 per cell]
Co (0.8739, 0.5000, 0.7428) [1 per cell]
Re (0.2714, 0.0000, 0.5352) [1 per cell]
Re (0.6030, 0.5000, 0.2070) [1 per cell]

## Properties
spin magnetization	1.178	μB per formula unit

#C
FeCoRe2: relaxed, PBE-GGA.

Cell: 2.7236 2.7236 25.3361 Å, 90.00 90.00 120.00°
Space group R3m (No. 160, hexagonal axes)
Inequivalent atoms, fractional coordinates:
Fe (0.0000, 0.0000, 0.0000) [3 per cell]
Co (0.0000, 0.0000, 0.2587) [3 per cell]
Re (0.0000, 0.0000, 0.5066) [3 per cell]
Re (0.0000, 0.0000, 0.7528) [3 per cell]

## Properties
spin magnetization	4.165	μB per formula unit

Most stable of them? #B.

#A
FeCoRe2: relaxed, PBE-GGA.

Cell: 5.2617 7.3429 2.6284 Å, 90.00 90.00 90.00°
Space group Cmmm (No. 65)
Inequivalent atoms, fractional coordinates:
Fe (0.0000, 0.0000, 0.0000) [2 per cell]
Co (0.0000, 0.5000, 0.0000) [2 per cell]
Re (0.2500, 0.2500, 0.5000) [4 per cell]

## Properties
spin magnetization	0.000	μB per formula unit

#B
FeCoRe2: relaxed, PBE-GGA.

Cell: 6.5298 6.5298 5.1853 Å, 90.00 90.00 90.00°
Space group I-42d (No. 122)
Inequivalent atoms, fractional coordinates:
Fe (0.0000, 0.0000, 0.0000) [4 per cell]
Co (0.0000, 0.0000, 0.5000) [4 per cell]
Re (0.2384, 0.2500, 0.1250) [8 per cell]

## Properties
spin magnetization	0.001	μB per formula unit

#C
FeCoRe2: relaxed, PBE-GGA.

Cell: 2.6749 2.6749 25.3594 Å, 90.00 90.00 120.00°
Space group R-3m (No. 166, hexagonal axes)
Inequivalent atoms, fractional coordinates:
Fe (0.0000, 0.0000, 0.0000) [3 per cell]
Co (0.0000, 0.0000, 0.5000) [3 per cell]
Re (0.0000, 0.0000, 0.2500) [6 per cell]

## Properties
spin magnetization	0.597	μB per formula unit

#D
FeCoRe2: relaxed, PBE-GGA.

Cell: 2.6716 2.6716 7.2815 Å, 90.00 90.00 90.00°
Space group P4mm (No. 99)
Inequivalent atoms, fractional coordinates:
Fe (0.0000, 0.0000, 0.0000) [1 per cell]
Co (0.5000, 0.5000, 0.7723) [1 per cell]
Re (0.0000, 0.0000, 0.5359) [1 per cell]
Re (0.5000, 0.5000, 0.2403) [1 per cell]

## Properties
spin magnetization	2.238	μB per formula unit

Most stable of them? #A.

#A
Fe2CoRh: relaxed, PBE-GGA.

Cell: 3.6089 3.6089 7.6599 Å, 90.00 90.00 90.00°
Space group I-4m2 (No. 119)
Inequivalent atoms, fractional coordinates:
Fe (0.0000, 0.0000, 0.0000) [2 per cell]
Fe (0.0000, 0.5000, 0.2500) [2 per cell]
Co (0.0000, 0.0000, 0.5000) [2 per cell]
Rh (0.0000, 0.5000, 0.7500) [2 per cell]

## Properties
spin magnetization	7.722	μB per formula unit

#B
Fe2CoRh: relaxed, PBE-GGA.

Cell: 2.6643 2.6643 24.6569 Å, 90.00 90.00 120.00°
Space group R-3m (No. 166, hexagonal axes)
Inequivalent atoms, fractional coordinates:
Fe (0.0000, 0.0000, 0.2460) [6 per cell]
Co (0.0000, 0.0000, 0.5000) [3 per cell]
Rh (0.0000, 0.0000, 0.0000) [3 per cell]

## Properties
spin magnetization	8.180	μB per formula unit

Most stable of them? #A.

#A
Fe4CoRh: relaxed, PBE-GGA.

Cell: 6.6195 6.6195 6.6195 Å, 90.00 90.00 90.00°
Space group F-43m (No. 216)
Inequivalent atoms, fractional coordinates:
Fe (0.1254, 0.1254, 0.1254) [16 per cell]
Co (0.0000, 0.0000, 0.5000) [4 per cell]
Rh (0.2500, 0.2500, 0.7500) [4 per cell]

## Properties
spin magnetization	11.006	μB per formula unit

#B
Fe4CoRh: relaxed, PBE-GGA.

Cell: 2.9007 4.8592 5.7821 Å, 72.68 89.91 72.65°
Space group P-1 (No. 2)
Inequivalent atoms, fractional coordinates:
Fe (0.1677, 0.1649, 0.3425) [2 per cell]
Fe (0.1699, 0.1596, 0.8261) [2 per cell]
Co (0.5000, 0.5000, 0.5000) [1 per cell]
Rh (0.5000, 0.5000, 0.0000) [1 per cell]

## Properties
spin magnetization	13.578	μB per formula unit

Most stable of them? #B.

#A
FeCo2Rh: relaxed, PBE-GGA.

Cell: 2.6262 2.6262 7.0516 Å, 90.00 90.00 90.00°
Space group P4mm (No. 99)
Inequivalent atoms, fractional coordinates:
Fe (0.0000, 0.0000, 0.0000) [1 per cell]
Co (0.0000, 0.0000, 0.5333) [1 per cell]
Co (0.5000, 0.5000, 0.7582) [1 per cell]
Rh (0.5000, 0.5000, 0.2691) [1 per cell]

## Properties
spin magnetization	6.691	μB per formula unit

#B
FeCo2Rh: relaxed, PBE-GGA.

Cell: 3.6276 3.6276 7.4010 Å, 90.00 90.00 90.00°
Space group I4/mmm (No. 139)
Inequivalent atoms, fractional coordinates:
Fe (0.0000, 0.0000, 0.0000) [2 per cell]
Co (0.0000, 0.5000, 0.2500) [4 per cell]
Rh (0.0000, 0.0000, 0.5000) [2 per cell]

## Properties
spin magnetization	6.761	μB per formula unit

Most stable of them? #B.

#A
FeCo2Rh: relaxed, PBE-GGA.

Cell: 2.8459 2.8459 6.0431 Å, 90.00 90.00 90.00°
Space group P4/mmm (No. 123)
Inequivalent atoms, fractional coordinates:
Fe (0.0000, 0.0000, 0.0000) [1 per cell]
Co (0.5000, 0.5000, 0.2279) [2 per cell]
Rh (0.0000, 0.0000, 0.5000) [1 per cell]

## Properties
spin magnetization	7.373	μB per formula unit

#B
FeCo2Rh: relaxed, PBE-GGA.

Cell: 5.1608 7.2422 2.6115 Å, 90.00 90.00 90.00°
Space group Cmmm (No. 65)
Inequivalent atoms, fractional coordinates:
Fe (0.0000, 0.0000, 0.0000) [2 per cell]
Co (0.2500, 0.2500, 0.5000) [4 per cell]
Rh (0.0000, 0.5000, 0.0000) [2 per cell]

## Properties
spin magnetization	6.704	μB per formula unit

Most stable of them? #A.

#A
FeCo2Rh: relaxed, PBE-GGA.

Cell: 2.8769 4.1611 8.2434 Å, 90.00 90.00 90.00°
Space group Immm (No. 71)
Inequivalent atoms, fractional coordinates:
Fe (0.0000, 0.0000, 0.0000) [2 per cell]
Co (0.0000, 0.5000, 0.2640) [4 per cell]
Rh (0.0000, 0.0000, 0.5000) [2 per cell]

## Properties
spin magnetization	7.412	μB per formula unit

#B
FeCo2Rh: relaxed, PBE-GGA.

Cell: 2.8330 4.2686 8.2236 Å, 90.00 90.00 90.00°
Space group Cmm2 (No. 35)
Inequivalent atoms, fractional coordinates:
Fe (0.0000, 0.0000, 0.0000) [2 per cell]
Co (0.0000, 0.0000, 0.5253) [2 per cell]
Co (0.0000, 0.5000, 0.7618) [2 per cell]
Rh (0.0000, 0.5000, 0.2618) [2 per cell]

## Properties
spin magnetization	7.197	μB per formula unit

#C
FeCo2Rh: relaxed, PBE-GGA.

Cell: 4.1491 4.1491 2.8713 Å, 90.00 90.00 90.00°
Space group P4/mmm (No. 123)
Inequivalent atoms, fractional coordinates:
Fe (0.0000, 0.0000, 0.0000) [1 per cell]
Co (0.0000, 0.5000, 0.5000) [2 per cell]
Rh (0.5000, 0.5000, 0.0000) [1 per cell]

## Properties
spin magnetization	7.323	μB per formula unit

#D
FeCo2Rh: relaxed, PBE-GGA.

Cell: 2.6269 2.6269 24.7279 Å, 90.00 90.00 120.00°
Space group R-3m (No. 166, hexagonal axes)
Inequivalent atoms, fractional coordinates:
Fe (0.0000, 0.0000, 0.0000) [3 per cell]
Co (0.0000, 0.0000, 0.2534) [6 per cell]
Rh (0.0000, 0.0000, 0.5000) [3 per cell]

## Properties
spin magnetization	7.120	μB per formula unit

Most stable of them? #A.